No. 1
! NdThPb PBE-GGA optimized geometry; values from VASP
! - DFT formation energy: -0.040 eV/atom
! - V: 32.190 A^3/atom
! - Theoretical density: 10.03 g cm⁻³
! - Total moment: 0.000 μB/atom
! - Final energy: -16.0 eV/f.u.
! - E above lowest polymorph: 340.9 meV per atom
&SYSTEM
  ibrav = 0, nat = 3, ntyp = 3
/
ATOMIC_SPECIES
Nd 144.24 Nd.upf
Th 232.04 Th.upf
Pb 207.20 Pb.upf
CELL_PARAMETERS angstrom
3.616 0.000 0.000
0.000 5.553 0.000
0.000 -2.776 4.809
ATOMIC_POSITIONS angstrom
Nd 2.150 2.776 1.603
Th 0.213 0.000 0.000
Pb 1.253 0.000 3.206

=====

No. 2
! Tb7Nd3Sm2 PBE-GGA optimized geometry; values from VASP
! - DFT formation energy: 0.082 eV/atom
! - V: 33.427 A^3/atom
! - Theoretical density: 7.64 g cm⁻³
! - Total moment: 0.000 μB/atom
! - Final energy: -55.2 eV/f.u.
! - E above lowest polymorph: 2.3 meV per atom
&SYSTEM
  ibrav = 0, nat = 12, ntyp = 3
/
ATOMIC_SPECIES
Tb 158.93 Tb.upf
Sm 150.36 Sm.upf
Nd 144.24 Nd.upf
CELL_PARAMETERS angstrom
3.603 0.000 0.000
0.000 5.873 -0.317
0.000 -3.812 19.166
ATOMIC_POSITIONS angstrom
Tb 1.801 -3.054 15.824
Tb 0.000 2.126 2.601
Tb 0.000 0.000 0.000
Tb 1.801 2.463 8.635
Tb 1.801 -0.402 10.214
Tb 0.000 -0.065 16.248
Tb 1.801 5.115 3.025
Sm 1.801 -0.244 13.417
Sm 1.801 2.305 5.432
Nd 0.000 -0.544 6.996
Nd 1.801 2.936 -0.158
Nd 0.000 2.605 11.853